No. 1
Below is crystalline BeAlSe2 at its relaxed geometry, with properties calculated at the GGA-PBE level.

a b c (Å): 3.473 3.498 7.291
angles (deg): 90.00 90.00 90.00
Positions (direct):
Be 0.000 0.000 0.000
Al 0.000 0.500 0.500
Se 0.500 0.000 0.500
Se 0.500 0.500 0.000

Values from the calculation:
volume = 88.57 Å³/f.u.
total moment = 0.00 μB/cell
total DFT energy (no corrections) = -14.6 eV per cell
formation energy without anion corrections = -0.03 eV per atom
ΔE to the lowest computed polymorph = 0.379 eV per atom
symmetry = No. 47
calculated density = 3.64 Mg/m³

---

No. 2
Below is crystalline TmNiGePd at its relaxed geometry, with properties calculated at the GGA-PBE level.

a b c (Å): 4.539 4.539 4.539
angles (deg): 60.00 60.00 60.00
Positions (direct):
Tm 0.000 0.000 0.000
Ni 0.250 0.250 0.250
Ge 0.500 0.500 0.500
Pd 0.750 0.750 0.750

Values from the calculation:
volume = 66.13 Å³/f.u.
total moment = 0.00 μB/cell
total DFT energy (no corrections) = -22.4 eV per cell
energy of formation from the pure elements = -2.34 eV/f.u.
symmetry = No. 216
calculated density = 10.21 Mg/m³

---

No. 3
Below is crystalline Sc3TlIr at its relaxed geometry, with properties calculated at the GGA-PBE level.

a b c (Å): 5.195 5.195 5.195
angles (deg): 90.00 90.00 90.00
Positions (direct):
Sc 0.000 0.000 0.500
Sc 0.000 0.500 0.000
Sc 0.500 0.000 0.000
Tl 0.000 0.000 0.000
Ir 0.500 0.500 0.500

Values from the calculation:
volume = 140.24 Å³/f.u.
total moment = 0.00 μB/cell
total DFT energy (no corrections) = -25.4 eV per cell
ΔE to the lowest computed polymorph = 1.412 eV per atom
energy of formation from the pure elements = 4.78 eV/f.u.
symmetry = No. 221
calculated density = 6.29 Mg/m³

---

No. 4
Below is crystalline Tb2Pm3In7 at its relaxed geometry, with properties calculated at the GGA-PBE level.

a b c (Å): 12.856 12.856 5.434
angles (deg): 90.00 90.00 156.62
Positions (direct):
Tb 0.145 0.855 0.000
Tb 0.855 0.145 0.000
Pm 0.343 0.657 0.500
Pm 0.500 0.500 0.500
Pm 0.657 0.343 0.500
In 0.000 0.000 0.000
In 0.079 0.921 0.500
In 0.274 0.726 0.000
In 0.426 0.574 0.000
In 0.574 0.426 0.000
In 0.726 0.274 0.000
In 0.921 0.079 0.500

Values from the calculation:
volume = 356.44 Å³/f.u.
total moment = 0.00 μB/cell
total DFT energy (no corrections) = -45.5 eV per cell
energy of formation from the pure elements = -2.79 eV/f.u.
symmetry = No. 65
calculated density = 7.25 Mg/m³

---

No. 5
Below is crystalline Pr2Al6Cu3 at its relaxed geometry, with properties calculated at the GGA-PBE level.

a b c (Å): 7.737 7.737 4.076
angles (deg): 90.00 90.00 120.00
Positions (direct):
Pr 0.333 0.667 0.000
Pr 0.667 0.333 0.000
Al 0.000 0.196 0.000
Al 0.000 0.695 0.500
Al 0.196 0.000 0.000
Al 0.305 0.305 0.500
Al 0.695 0.000 0.500
Al 0.804 0.804 0.000
Cu 0.000 0.367 0.500
Cu 0.367 0.000 0.500
Cu 0.633 0.633 0.500

Values from the calculation:
volume = 211.31 Å³/f.u.
total moment = 0.00 μB/cell
total DFT energy (no corrections) = -48.3 eV per cell
energy of formation from the pure elements = -3.99 eV/f.u.
symmetry = No. 189
calculated density = 4.98 Mg/m³

---

No. 6
Below is crystalline PrDy6Tm12 at its relaxed geometry, with properties calculated at the GGA-PBE level.

a b c (Å): 8.449 8.449 8.449
angles (deg): 88.40 88.40 88.40
Positions (direct):
Pr 0.000 0.000 0.000
Dy 0.089 0.681 0.255
Dy 0.255 0.089 0.681
Dy 0.319 0.745 0.911
Dy 0.681 0.255 0.089
Dy 0.745 0.911 0.319
Dy 0.911 0.319 0.745
Tm 0.007 0.218 0.352
Tm 0.218 0.352 0.007
Tm 0.230 0.454 0.563
Tm 0.352 0.007 0.218
Tm 0.437 0.770 0.546
Tm 0.454 0.563 0.230
Tm 0.546 0.437 0.770
Tm 0.563 0.230 0.454
Tm 0.648 0.993 0.782
Tm 0.770 0.546 0.437
Tm 0.782 0.648 0.993
Tm 0.993 0.782 0.648

Values from the calculation:
volume = 602.53 Å³/f.u.
total moment = 0.00 μB/cell
total DFT energy (no corrections) = -82.9 eV per cell
ΔE to the lowest computed polymorph = 0.000 eV per atom
energy of formation from the pure elements = 3.10 eV/f.u.
symmetry = No. 148
calculated density = 8.66 Mg/m³

---

No. 7
Below is crystalline CeEuMgRu at its relaxed geometry, with properties calculated at the GGA-PBE level.

a b c (Å): 5.114 5.114 5.114
angles (deg): 60.00 60.00 60.00
Positions (direct):
Ce 0.000 0.000 0.000
Eu 0.500 0.500 0.500
Mg 0.250 0.250 0.250
Ru 0.750 0.750 0.750

Values from the calculation:
volume = 94.60 Å³/f.u.
total moment = 6.26 μB/cell
total DFT energy (no corrections) = -26.9 eV per cell
energy of formation from the pure elements = 0.20 eV/f.u.
symmetry = No. 216
calculated density = 7.33 Mg/m³

---

Which value of volume does entry 1 give?
88.57 Å³/f.u.